# 1
## KNaCdSb (PBE)

Data for a relaxed KNaCdSb crystal.

- SG: F-43m (216)
- Total moment: 0.000 μB per atom
- Raw total energy: -2.07 eV per atom
- ΔE_f (raw): -0.205 eV/atom

Cell lengths 5.5194, 5.5194, 5.5194 Å; angles 60.00, 60.00, 60.00 degrees
Last column: nearest neighbours and their distance in Å.
Sites, in units of the cell vectors:
K (0.0000, 0.0000, 0.0000)  4 Na 3.38, 4 Cd 3.38
Na (0.7500, 0.7500, 0.7500)  4 K 3.38, 4 Sb 3.38
Cd (0.2500, 0.2500, 0.2500)  4 Sb 3.38, 4 K 3.38
Sb (0.5000, 0.5000, 0.5000)  4 Na 3.38, 4 Cd 3.38


# 2
## KNaCdSb2 (PBE)

Data for a relaxed KNaCdSb2 crystal.

- SG: P4/mmm (123)
- Total moment: 0.000 μB per atom
- Raw total energy: -2.09 eV per atom
- ΔE_f (raw): 0.221 eV/atom

Cell lengths 5.5821, 5.5821, 5.6886 Å; angles 90.00, 90.00, 90.00 degrees
Last column: nearest neighbours and their distance in Å.
Sites, in units of the cell vectors:
K (0.0000, 0.0000, 0.0000)  4 Cd 3.95, 8 Sb 3.98
Na (0.5000, 0.5000, 0.5000)  4 Sb 2.79, 2 Cd 2.84
Cd (0.5000, 0.5000, 0.0000)  2 Na 2.84
Sb (0.0000, 0.5000, 0.5000)  2 Na 2.79
Sb (0.5000, 0.0000, 0.5000)  2 Na 2.79


Number 1: volume 119 Å³/cell. Number 2: volume 177 Å³/cell.